Compound: BaGaPd3
Source: Alexandria
Functional: PBE
Structure: relaxed

## Properties
* formation energy from the elements: -0.524 eV per atom
* E: -0.34030 Ry per atom
* space group: No. 12
* relative energy among the computed polymorphs: 0.033 eV/atom

Geometry as extended XYZ:
```
10
Lattice="5.9598 -3.1231 0.0000 5.9598 3.1231 0.0000 -0.7346 0.0000 5.5717" Properties=species:S:1:pos:R:3 pbc="T T T"
Ba 1.1102 0.0000 1.5676
Ba 10.0747 0.0000 4.0041
Ga 5.9598 0.0000 0.0000
Ga 5.5925 0.0000 2.7858
Pd 4.0512 1.3827 1.1060
Pd 3.3047 0.0000 3.9611
Pd 7.1338 1.3827 4.4656
Pd 4.0512 -1.3827 1.1060
Pd 7.8802 0.0000 1.6105
Pd 7.1338 -1.3827 4.4656
```